## 1
Density functional theory data (PBE-GGA) for a relaxed structure of Cu2AgRh.

Lattice parameters (Å, degrees): 2.7873 2.7873 7.2549 90.00 90.00 90.00
Space group P4/mmm (No. 123)
Unique sites:
Cu: 0.0000 0.0000 0.2367 x2
Ag: 0.5000 0.5000 0.5000 x1
Rh: 0.5000 0.5000 0.0000 x1

The spin magnetization is 0.104 μB/atom.


## 2
Density functional theory data (PBE-GGA) for a relaxed structure of Cu2AgRh.

Lattice parameters (Å, degrees): 6.0760 6.0760 6.0760 90.00 90.00 90.00
Space group Fm-3m (No. 225)
Unique sites:
Cu: 0.2500 0.2500 0.2500 x8
Ag: 0.0000 0.0000 0.0000 x4
Rh: 0.0000 0.0000 0.5000 x4

The spin magnetization is 0.000 μB/atom.


Q: Which of them is the least stable? A: 2.


## 1
Density functional theory data (PBE-GGA) for a relaxed structure of CuAg2Ru.

Lattice parameters (Å, degrees): 3.8580 3.8580 4.1912 90.00 90.00 90.00
Space group P4/mmm (No. 123)
Unique sites:
Cu: 0.0000 0.0000 0.0000 x1
Ag: 0.0000 0.5000 0.5000 x2
Ru: 0.5000 0.5000 0.0000 x1

The spin magnetization is 0.000 μB/atom.


## 2
Density functional theory data (PBE-GGA) for a relaxed structure of CuAg2Ru.

Lattice parameters (Å, degrees): 2.7667 2.7667 28.0394 90.00 90.00 120.00
Space group R3m (No. 160, hexagonal axes)
Unique sites:
Cu: 0.0000 0.0000 0.0000 x3
Ag: 0.0000 0.0000 0.2518 x3
Ag: 0.0000 0.0000 0.4938 x3
Ru: 0.0000 0.0000 0.7406 x3

The spin magnetization is 0.059 μB/atom.


## 3
Density functional theory data (PBE-GGA) for a relaxed structure of CuAg2Ru.

Lattice parameters (Å, degrees): 2.8342 4.6505 9.5072 90.00 90.00 90.00
Space group Cmmm (No. 65)
Unique sites:
Cu: 0.0000 0.0000 0.0000 x2
Ag: 0.0000 0.5000 0.2407 x4
Ru: 0.0000 0.0000 0.5000 x2

The spin magnetization is 0.145 μB/atom.


## 4
Density functional theory data (PBE-GGA) for a relaxed structure of CuAg2Ru.

Lattice parameters (Å, degrees): 4.1128 4.1128 7.4349 90.00 90.00 90.00
Space group I-4m2 (No. 119)
Unique sites:
Cu: 0.0000 0.0000 0.0000 x2
Ag: 0.0000 0.0000 0.5000 x2
Ag: 0.0000 0.5000 0.2500 x2
Ru: 0.0000 0.5000 0.7500 x2

The spin magnetization is 0.407 μB/atom.


Q: Which of them is the least stable? A: 1.


## 1
Density functional theory data (PBE-GGA) for a relaxed structure of CuAg2Ru.

Lattice parameters (Å, degrees): 2.7723 2.7723 27.8455 90.00 90.00 120.00
Space group R-3m (No. 166, hexagonal axes)
Unique sites:
Cu: 0.0000 0.0000 0.0000 x3
Ag: 0.0000 0.0000 0.2527 x6
Ru: 0.0000 0.0000 0.5000 x3

The spin magnetization is 0.108 μB/atom.


## 2
Density functional theory data (PBE-GGA) for a relaxed structure of CuAg2Ru.

Lattice parameters (Å, degrees): 2.7136 3.8734 5.9585 90.00 90.00 90.00
Space group Pmm2 (No. 25)
Unique sites:
Cu: 0.0000 0.0000 0.0000 x1
Ag: 0.0000 0.0000 0.4649 x1
Ag: 0.5000 0.5000 0.7369 x1
Ru: 0.5000 0.5000 0.2036 x1

The spin magnetization is 0.281 μB/atom.


Q: Which of them is the least stable? A: 2.


## 1
Density functional theory data (PBE-GGA) for a relaxed structure of CuAg2Ru.

Lattice parameters (Å, degrees): 2.6504 4.2659 5.6793 90.00 103.20 90.00
Space group Pm (No. 6)
Unique sites:
Cu: 0.0000 0.0000 0.0000 x1
Ag: 0.2201 0.0000 0.4671 x1
Ag: 0.8434 0.5000 0.7176 x1
Ru: 0.5827 0.5000 0.1831 x1

The spin magnetization is 0.000 μB/atom.


## 2
Density functional theory data (PBE-GGA) for a relaxed structure of CuAg2Ru.

Lattice parameters (Å, degrees): 3.9579 3.9579 7.9839 90.00 90.00 90.00
Space group I4/mmm (No. 139)
Unique sites:
Cu: 0.0000 0.0000 0.0000 x2
Ag: 0.0000 0.5000 0.2500 x4
Ru: 0.0000 0.0000 0.5000 x2

The spin magnetization is 0.311 μB/atom.


Q: Which of them is the least stable? A: 2.


## 1
Density functional theory data (PBE-GGA) for a relaxed structure of CuAg2Ru.

Lattice parameters (Å, degrees): 3.7602 3.7602 19.3209 90.00 90.00 90.00
Space group I-42d (No. 122)
Unique sites:
Cu: 0.0000 0.0000 0.0000 x4
Ag: 0.2470 0.2500 0.1250 x8
Ru: 0.0000 0.0000 0.5000 x4

The spin magnetization is 0.377 μB/atom.


## 2
Density functional theory data (PBE-GGA) for a relaxed structure of CuAg2Ru.

Lattice parameters (Å, degrees): 2.7288 4.7496 4.8263 90.00 90.00 90.00
Space group Pmmm (No. 47)
Unique sites:
Cu: 0.0000 0.0000 0.0000 x1
Ag: 0.0000 0.5000 0.5000 x1
Ag: 0.5000 0.0000 0.5000 x1
Ru: 0.5000 0.5000 0.0000 x1

The spin magnetization is 0.000 μB/atom.


Q: Which of them is the least stable? A: 1.


## 1
Density functional theory data (PBE-GGA) for a relaxed structure of CuAg2Ru.

Lattice parameters (Å, degrees): 2.7487 2.7487 8.2261 90.00 90.00 90.00
Space group P4/mmm (No. 123)
Unique sites:
Cu: 0.0000 0.0000 0.0000 x1
Ag: 0.5000 0.5000 0.2377 x2
Ru: 0.0000 0.0000 0.5000 x1

The spin magnetization is 0.370 μB/atom.


## 2
Density functional theory data (PBE-GGA) for a relaxed structure of CuAg2Ru.

Lattice parameters (Å, degrees): 6.3333 6.3333 6.3333 90.00 90.00 90.00
Space group Fm-3m (No. 225)
Unique sites:
Cu: 0.0000 0.0000 0.0000 x4
Ag: 0.2500 0.2500 0.2500 x8
Ru: 0.0000 0.0000 0.5000 x4

The spin magnetization is 0.375 μB/atom.


## 3
Density functional theory data (PBE-GGA) for a relaxed structure of CuAg2Ru.

Lattice parameters (Å, degrees): 2.8211 4.6727 9.5161 90.00 90.00 90.00
Space group Cmm2 (No. 35)
Unique sites:
Cu: 0.0000 0.0000 0.0000 x2
Ag: 0.0000 0.0000 0.5135 x2
Ag: 0.0000 0.5000 0.2431 x2
Ru: 0.0000 0.5000 0.7748 x2

The spin magnetization is 0.133 μB/atom.


## 4
Density functional theory data (PBE-GGA) for a relaxed structure of CuAg2Ru.

Lattice parameters (Å, degrees): 2.7788 2.7788 8.0542 90.00 90.00 90.00
Space group P4mm (No. 99)
Unique sites:
Cu: 0.0000 0.0000 0.0000 x1
Ag: 0.0000 0.0000 0.4817 x1
Ag: 0.5000 0.5000 0.7592 x1
Ru: 0.5000 0.5000 0.2163 x1

The spin magnetization is 0.387 μB/atom.


Q: Which of them is the least stable? A: 2.